No. 1
Computed, not measured: an optimized crystal structure of La2AgSn at the PBE-GGA level of DFT.

Summary:
Total moment (Bohr magnetons per cell): 0.00
E_form (kcal/mol of atoms): 1.3
Electronic total energy (eV per atom): -4.121

```
La2AgSn
1.0
3.5303 0.0000 0.0000
1.7651 3.0573 0.0000
1.7651 1.0191 11.6339
La Ag Sn
2 1 1
Cartesian
5.2954 3.0573 3.2954
1.7651 1.0191 8.3385
3.5303 2.0382 5.8169
0.0000 0.0000 0.0000
```

=====

No. 2
Computed, not measured: an optimized crystal structure of Tb6NdCd at the PBE-GGA level of DFT.

Summary:
Total moment (Bohr magnetons per cell): 0.00
E_form (kcal/mol of atoms): 1.1
Electronic total energy (eV per atom): -4.137

```
Tb6NdCd
1.0
-2.6011 2.6265 -8.5660
-1.8438 -5.6230 -6.2446
-5.0428 -0.7357 -3.7709
Cd Tb Nd
1 6 1
Cartesian
0.0000 0.0000 0.0000
-7.4198 -3.9375 -15.2459
-6.7634 -3.7073 -11.7172
-4.7635 -0.7658 -12.6015
-2.0679 0.2053 -3.3356
-2.7243 -0.0249 -6.8643
-4.7242 -2.9664 -5.9799
-4.7438 -1.8661 -9.2907
```

=====

No. 3
Computed, not measured: an optimized crystal structure of Hg2PdAu at the PBE-GGA level of DFT.

Summary:
Total moment (Bohr magnetons per cell): 0.00
E_form (kcal/mol of atoms): 1.2
Electronic total energy (eV per atom): -2.216
Polymorph energy (0 for the lowest one) (kJ/mol of atoms): 6.9

```
Hg2PdAu
1.0
4.3245 0.0000 0.0000
2.1622 3.7451 0.0000
2.1622 1.2484 5.4614
Hg Pd Au
2 1 1
Cartesian
2.1622 1.2484 1.1911
2.1622 1.2484 4.2535
6.4867 3.7451 5.4068
4.3245 2.4967 2.8020
```

=====

No. 4
Computed, not measured: an optimized crystal structure of UCu2Br2Cl6 at the PBE-GGA level of DFT.

Summary:
Total moment (Bohr magnetons per cell): 2.03
ΔE_f (raw) (eV/f.u.): -10.683
Electronic total energy (eV per atom): -4.054

```
UCu2Br2Cl6
1.0
6.4967 0.0000 0.0000
-3.2483 5.6263 0.0000
0.0000 0.0000 9.8259
Br Cl Cu U
2 6 2 1
Cartesian
0.0000 3.7509 5.0035
3.2483 1.8754 4.8224
-2.1158 3.8799 8.3270
5.3641 1.7463 1.4988
2.3022 3.7723 1.4988
0.9461 1.8540 8.3270
1.1697 5.5186 8.3270
2.0787 0.1076 1.4988
0.0000 3.7509 7.2740
3.2483 1.8754 2.5518
0.0000 0.0000 0.0000
```

=====

No. 5
Computed, not measured: an optimized crystal structure of Tm2Al4CuPd3 at the PBE-GGA level of DFT.

Summary:
Total moment (Bohr magnetons per cell): 0.00
E_form (kcal/mol of atoms): -16.8
Electronic total energy (eV per atom): -5.088

```
Tm2Al4CuPd3
1.0
4.0760 0.0000 0.0000
0.0000 4.0760 0.0000
0.0000 0.0000 10.9145
Al Cu Pd Tm
4 1 3 2
Cartesian
2.0380 0.0000 6.8759
0.0000 0.0000 0.0000
0.0000 2.0380 4.0386
2.0380 2.0380 0.0000
2.0380 2.0380 5.4572
0.0000 2.0380 1.5416
2.0380 0.0000 9.3729
0.0000 0.0000 5.4572
2.0380 0.0000 2.7111
0.0000 2.0380 8.2034
```

=====

No. 6
Computed, not measured: an optimized crystal structure of LaMn3Ru at the PBE-GGA level of DFT.

Summary:
Total moment (Bohr magnetons per cell): 10.92
E_form (kcal/mol of atoms): 13.0
Electronic total energy (eV per atom): -7.777
Polymorph energy (0 for the lowest one) (kJ/mol of atoms): 0.0

```
LaMn3Ru
1.0
-3.0374 1.9450 -3.1306
-3.5082 -0.2823 3.2284
1.1298 4.3528 1.6082
Mn Ru La
3 1 1
Cartesian
-1.7541 -0.1411 1.6142
-1.5187 0.9725 -1.5653
0.5649 2.1764 0.8041
0.0000 0.0000 0.0000
-2.7079 3.0078 0.8530
```

=====

No. 7
Computed, not measured: an optimized crystal structure of Ac4SmTe7 at the PBE-GGA level of DFT.

Summary:
Total moment (Bohr magnetons per cell): 0.00
ΔE_f (raw) (eV/f.u.): -18.475
Electronic total energy (eV per atom): -5.135

```
Ac4SmTe7
1.0
4.5753 0.0000 0.0000
-2.2876 7.4707 -1.9715
0.0000 -0.0606 13.6678
Te Ac Sm
7 4 1
Cartesian
0.0000 5.0942 11.7161
0.0000 3.9980 7.8704
2.2876 6.9509 1.0929
0.0000 6.9395 4.6540
0.0000 0.5713 10.2984
2.2876 3.4641 3.9809
2.2876 2.5098 0.0791
0.0000 1.5621 5.5344
0.0000 4.6246 1.6065
0.0000 0.0336 13.5429
2.2876 3.0468 10.2999
2.2876 5.6354 6.3359
```

=====

No. 8
Computed, not measured: an optimized crystal structure of InIr at the PBE-GGA level of DFT.

Summary:
Total moment (Bohr magnetons per cell): 0.00
E_form (kcal/mol of atoms): 9.3
Electronic total energy (eV per atom): -5.395

```
InIr
1.0
5.3667 0.0000 0.0000
0.0000 5.3667 0.0000
0.0000 0.0000 5.4320
In Ir
4 4
Cartesian
1.0625 4.3042 0.0000
3.7458 3.7458 2.7160
1.6208 1.6208 2.7160
4.3042 1.0625 0.0000
1.0033 4.3634 2.7160
1.6800 1.6800 0.0000
4.3634 1.0033 2.7160
3.6866 3.6866 0.0000
```

=====

No. 9
Computed, not measured: an optimized crystal structure of Sb2TeHOs at the PBE-GGA level of DFT.

Summary:
Total moment (Bohr magnetons per cell): 0.00
Electronic total energy (eV per atom): -4.164
Polymorph energy (0 for the lowest one) (kJ/mol of atoms): 0.0

```
Sb2TeHOs
1.0
-0.7161 0.1413 4.2614
2.1232 -3.7354 0.4807
4.3038 2.5286 0.6394
Te Sb H Os
1 2 1 1
Cartesian
2.1519 1.2643 0.3197
-0.3581 0.0706 2.1307
1.0616 -1.8677 0.2403
0.0000 0.0000 0.0000
2.8555 -0.5328 2.6908
```

=====

No. 10
Computed, not measured: an optimized crystal structure of La4Sm3 at the PBE-GGA level of DFT.

Summary:
Total moment (Bohr magnetons per cell): 0.00
E_form (kcal/mol of atoms): 0.5
Electronic total energy (eV per atom): -4.816
Polymorph energy (0 for the lowest one) (kJ/mol of atoms): 0.0

```
La4Sm3
1.0
-0.6602 5.1162 -0.9213
-1.6575 -1.8338 5.9072
7.1953 1.5867 3.6553
La Sm
4 3
Cartesian
3.4551 1.7606 7.3012
3.5408 1.1138 3.6478
1.4225 3.1085 1.3400
1.3368 3.7553 4.9934
0.0000 0.0000 0.0000
-0.1234 0.6343 3.6107
5.0010 4.2348 5.0305
```

=====

No. 11
Computed, not measured: an optimized crystal structure of YTcSb2Os at the PBE-GGA level of DFT.

Summary:
Total moment (Bohr magnetons per cell): 0.72
ΔE_f (raw) (eV/f.u.): 10.894
Electronic total energy (eV per atom): -5.082

```
YTcSb2Os
1.0
5.5080 0.0000 0.0000
0.0000 4.8517 0.0000
0.0000 0.0000 5.5080
Y Tc Sb Os
1 1 2 1
Cartesian
0.0000 0.0000 0.0000
2.7540 2.4258 2.7540
2.7540 0.0000 0.0000
0.0000 0.0000 2.7540
0.0000 2.4258 0.0000
```

=====

No. 12
Computed, not measured: an optimized crystal structure of Ho11Al9Cu4 at the PBE-GGA level of DFT.

Summary:
Total moment (Bohr magnetons per cell): 0.00
E_form (kcal/mol of atoms): -9.1
Electronic total energy (eV per atom): -4.577

```
Ho11Al9Cu4
1.0
3.5683 0.0000 0.0000
0.0000 11.6055 -4.9119
0.0000 0.0441 12.6020
Ho Al Cu
11 9 4
Cartesian
0.0000 4.3370 6.0989
0.0000 4.7760 -1.2134
0.0000 0.0000 0.0000
0.0000 6.8735 8.9036
0.0000 1.9226 9.7563
0.0000 9.7269 -2.0661
0.0000 3.5684 2.3556
0.0000 0.7611 4.8686
0.0000 7.3126 1.5913
0.0000 10.8884 2.8216
0.0000 8.0811 5.3345
1.7842 5.8248 3.8451
1.7842 7.3437 -1.0337
1.7842 10.7317 5.3355
1.7842 2.5259 -0.0814
1.7842 4.3058 8.7238
1.7842 9.1236 7.7716
1.7842 0.9178 2.3547
1.7842 9.7141 0.5311
1.7842 1.9355 7.1591
1.7842 2.8668 4.4428
1.7842 8.7827 3.2473
1.7842 5.2120 0.8902
1.7842 6.4376 6.8000
```

=====

No. 13
Computed, not measured: an optimized crystal structure of CeTc2C2 at the PBE-GGA level of DFT.

Summary:
Total moment (Bohr magnetons per cell): 0.00
E_form (kcal/mol of atoms): -4.4
Electronic total energy (eV per atom): -9.216

```
CeTc2C2
1.0
5.5398 0.2145 -0.0053
-1.6776 5.2840 -0.0053
-1.9264 -2.7425 4.7770
C Ce Tc
4 2 4
Cartesian
2.8770 3.1137 1.1863
1.8261 -0.2537 1.1916
0.1098 3.0097 3.5748
-0.9412 -0.3578 3.5801
-0.4183 1.3227 1.1916
2.3541 1.4332 3.5748
-1.2559 3.9659 2.2273
2.3509 1.4285 0.1505
-0.4151 1.3275 4.6158
3.1918 -1.2100 2.5390
```

=====

No. 14
Computed, not measured: an optimized crystal structure of Na2NbIr3O12 at the PBE-GGA level of DFT.

Summary:
Total moment (Bohr magnetons per cell): 1.23
ΔE_f (raw) (eV/f.u.): -20.365
Electronic total energy (eV per atom): -6.620

```
Na2NbIr3O12
1.0
7.3660 0.1225 0.0869
3.7443 6.3446 0.0869
3.7443 2.1795 5.9592
Na O Ir Nb
2 12 3 1
Cartesian
10.2436 5.9626 4.2292
4.6110 2.6840 1.9037
6.9594 4.0509 5.5800
11.5329 6.7131 2.1241
11.5329 4.2240 5.6335
3.3217 1.9335 4.0089
6.9594 6.6055 1.9785
5.4861 0.7042 0.4995
3.3217 4.4227 0.4995
7.8952 4.5957 0.5530
9.3685 7.9424 5.6335
9.1807 2.7894 1.9785
7.8952 2.0412 4.1545
5.6740 5.8572 4.1545
3.6830 0.0613 0.0435
1.8721 3.1723 0.0435
1.8721 1.0897 2.9796
0.0000 0.0000 0.0000
```

=====

No. 15
Computed, not measured: an optimized crystal structure of In2RuSe at the PBE-GGA level of DFT.

Summary:
Total moment (Bohr magnetons per cell): 0.00
ΔE_f (raw) (eV/f.u.): 1.528
Electronic total energy (eV per atom): -4.177

```
In2RuSe
1.0
4.8156 0.0000 0.0000
2.4078 4.1704 0.0000
2.4078 1.3901 3.9319
Ru Se In
1 1 2
Cartesian
4.8156 2.7803 1.9660
7.2234 4.1704 2.9489
2.4078 1.3901 0.9830
0.0000 0.0000 0.0000
```

=====

No. 16
Computed, not measured: an optimized crystal structure of RbTbTl2 at the PBE-GGA level of DFT.

Summary:
Total moment (Bohr magnetons per cell): 0.00
E_form (kcal/mol of atoms): -0.5
Electronic total energy (eV per atom): -2.604
Polymorph energy (0 for the lowest one) (kJ/mol of atoms): 15.2

```
RbTbTl2
1.0
-1.7199 0.5523 3.3700
-3.2415 -1.8552 0.8189
4.1964 -8.7373 5.7428
Tl Rb Tb
2 1 1
Cartesian
-0.3565 -2.2756 2.3602
-0.4085 -7.7647 7.5715
-0.3825 -5.0201 4.9658
0.0000 0.0000 0.0000
```

=====

No. 17
Computed, not measured: an optimized crystal structure of Hf5InFe4 at the PBE-GGA level of DFT.

Summary:
Total moment (Bohr magnetons per cell): 0.00
E_form (kcal/mol of atoms): -6.4
Electronic total energy (eV per atom): -8.912

```
Hf5InFe4
1.0
3.0919 0.0000 0.0000
0.0000 3.0919 0.0000
0.0000 0.0000 17.5638
Fe In Hf
4 1 5
Cartesian
0.0000 0.0000 4.0053
0.0000 0.0000 10.3679
0.0000 0.0000 13.5585
0.0000 0.0000 7.1959
0.0000 0.0000 0.0000
1.5459 1.5459 8.7819
1.5459 1.5459 2.3962
1.5459 1.5459 5.5989
1.5459 1.5459 11.9649
1.5459 1.5459 15.1677
```

=====

No. 18
Computed, not measured: an optimized crystal structure of La2Nb2Re at the PBE-GGA level of DFT.

Summary:
Total moment (Bohr magnetons per cell): 0.00
E_form (kcal/mol of atoms): 6.9
Electronic total energy (eV per atom): -8.188

```
La2Nb2Re
1.0
-4.5552 4.8250 -1.1371
-2.3529 -0.7452 6.2635
3.5146 3.7340 1.7645
Re Nb La
2 4 4
Cartesian
0.0000 0.0000 0.0000
-3.4540 2.0399 2.5632
-3.6177 1.0692 4.9433
-5.4087 3.6357 3.0796
-3.2904 3.0106 0.1830
-1.4993 0.4441 2.0467
-2.7879 5.6187 1.9965
-3.2514 4.4909 5.3062
-0.6055 2.1951 4.8944
-0.1421 3.3229 1.5847
```

=====

No. 19
Computed, not measured: an optimized crystal structure of HfFeP2Pt at the PBE-GGA level of DFT.

Summary:
Total moment (Bohr magnetons per cell): 0.00
E_form (kcal/mol of atoms): 18.7
Electronic total energy (eV per atom): -6.244

```
HfFeP2Pt
1.0
4.6336 0.0000 0.0000
0.0000 4.4317 0.0000
0.0000 0.0000 4.6336
Fe P Pt Hf
1 2 1 1
Cartesian
0.0000 2.2159 0.0000
0.0000 0.0000 2.3168
2.3168 0.0000 0.0000
0.0000 0.0000 0.0000
2.3168 2.2159 2.3168
```

=====

No. 20
Computed, not measured: an optimized crystal structure of VGeC3 at the PBE-GGA level of DFT.

Summary:
Total moment (Bohr magnetons per cell): 2.15
E_form (kcal/mol of atoms): 56.9
Electronic total energy (eV per atom): -5.813
Polymorph energy (0 for the lowest one) (kJ/mol of atoms): 65.4

```
VGeC3
1.0
3.8915 0.0000 0.0000
0.0000 3.8915 0.0000
0.0000 0.0000 3.8915
Ge C V
1 3 1
Cartesian
0.0000 0.0000 0.0000
1.9457 0.0000 0.0000
0.0000 1.9457 0.0000
0.0000 0.0000 1.9457
1.9457 1.9457 1.9457
```